A plane-wave DFT calculation with PBE was carried out for an optimized crystal structure of BaSrGeRh.

Structure (CIF):
```
data_BaSrGeRh
_chemical_formula_sum 'Ba1 Sr1 Ge1 Rh1'
_cell_length_a 4.382
_cell_length_b 4.382
_cell_length_c 8.873
_cell_angle_alpha 75.70
_cell_angle_beta 75.70
_cell_angle_gamma 60.00
_space_group_name_H-M_alt 'P 1'
_space_group_IT_number 1
loop_
_space_group_symop_operation_xyz
'x,y,z'
loop_
_atom_site_label
_atom_site_fract_x
_atom_site_fract_y
_atom_site_fract_z
Ba1 0.847 0.847 0.459
Sr1 0.013 0.013 0.962
Ge1 0.600 0.600 0.199
Rh1 0.266 0.266 0.203
```

- energy (eV/atom) = -4.4034
- E_form (meV/atom) = -510

=====

A plane-wave DFT calculation with PBE was carried out for an optimized crystal structure of LaUGa4.

Structure (CIF):
```
data_LaUGa4
_chemical_formula_sum 'La1 U1 Ga4'
_cell_length_a 5.601
_cell_length_b 5.601
_cell_length_c 5.601
_cell_angle_alpha 60.00
_cell_angle_beta 60.00
_cell_angle_gamma 60.00
_space_group_name_H-M_alt 'P 1'
_space_group_IT_number 1
loop_
_space_group_symop_operation_xyz
'x,y,z'
loop_
_atom_site_label
_atom_site_fract_x
_atom_site_fract_y
_atom_site_fract_z
U1 0.000 0.000 0.000
Ga1 0.626 0.626 0.123
Ga2 0.626 0.123 0.626
Ga3 0.626 0.626 0.626
Ga4 0.123 0.626 0.626
La1 0.250 0.250 0.250
```

- energy (eV/atom) = -5.0000
- E_form (meV/atom) = -280

=====

A plane-wave DFT calculation with PBE was carried out for an optimized crystal structure of TaTeRh4.

Structure (CIF):
```
data_TaTeRh4
_chemical_formula_sum 'Ta1 Te1 Rh4'
_cell_length_a 5.195
_cell_length_b 5.195
_cell_length_c 5.195
_cell_angle_alpha 60.00
_cell_angle_beta 60.00
_cell_angle_gamma 60.00
_space_group_name_H-M_alt 'P 1'
_space_group_IT_number 1
loop_
_space_group_symop_operation_xyz
'x,y,z'
loop_
_atom_site_label
_atom_site_fract_x
_atom_site_fract_y
_atom_site_fract_z
Ta1 0.750 0.750 0.750
Te1 0.000 0.000 0.000
Rh1 0.873 0.376 0.376
Rh2 0.376 0.376 0.873
Rh3 0.376 0.873 0.376
Rh4 0.376 0.376 0.376
```

- energy (eV/atom) = -7.2985
- formation energy from raw total energies (eV per atom) = 0.10

=====

A plane-wave DFT calculation with PBE was carried out for an optimized crystal structure of Ca2C.

Structure (CIF):
```
data_Ca2C
_chemical_formula_sum 'Ca2 C1'
_cell_length_a 3.899
_cell_length_b 3.899
_cell_length_c 6.217
_cell_angle_alpha 90.00
_cell_angle_beta 90.00
_cell_angle_gamma 120.00
_space_group_name_H-M_alt 'P 1'
_space_group_IT_number 1
loop_
_space_group_symop_operation_xyz
'x,y,z'
loop_
_atom_site_label
_atom_site_fract_x
_atom_site_fract_y
_atom_site_fract_z
Ca1 0.667 0.333 0.808
Ca2 0.333 0.667 0.192
C1 0.000 0.000 0.000
```

- energy (eV/atom) = -4.0426
- energy above the lowest structure with this stoichiometry (eV per atom) = 0.332
- E_form (meV/atom) = 366

=====

A plane-wave DFT calculation with PBE was carried out for an optimized crystal structure of Na4Tl8In.

Structure (CIF):
```
data_Na4Tl8In
_chemical_formula_sum 'Na4 Tl8 In1'
_cell_length_a 4.814
_cell_length_b 4.968
_cell_length_c 16.554
_cell_angle_alpha 90.00
_cell_angle_beta 90.00
_cell_angle_gamma 90.00
_space_group_name_H-M_alt 'P 1'
_space_group_IT_number 1
loop_
_space_group_symop_operation_xyz
'x,y,z'
loop_
_atom_site_label
_atom_site_fract_x
_atom_site_fract_y
_atom_site_fract_z
Na1 0.000 0.000 0.060
Na2 0.000 0.500 0.620
Na3 0.500 0.500 0.387
Na4 0.500 0.000 0.907
Tl1 0.000 0.000 0.494
Tl2 0.000 0.500 0.908
Tl3 0.500 0.500 0.058
Tl4 0.500 0.000 0.622
Tl5 0.000 0.500 0.203
Tl6 0.000 0.000 0.766
Tl7 0.500 0.000 0.197
Tl8 0.500 0.500 0.763
In1 0.000 0.000 0.317
```

- energy (eV/atom) = -2.1272
- E_form (meV/atom) = -54

=====

A plane-wave DFT calculation with PBE was carried out for an optimized crystal structure of Ta2InCl.

Structure (CIF):
```
data_Ta2InCl
_chemical_formula_sum 'Ta2 In1 Cl1'
_cell_length_a 3.033
_cell_length_b 3.033
_cell_length_c 10.642
_cell_angle_alpha 90.00
_cell_angle_beta 90.00
_cell_angle_gamma 112.82
_space_group_name_H-M_alt 'P 1'
_space_group_IT_number 1
loop_
_space_group_symop_operation_xyz
'x,y,z'
loop_
_atom_site_label
_atom_site_fract_x
_atom_site_fract_y
_atom_site_fract_z
Cl1 0.000 0.000 0.423
In1 0.500 0.500 0.801
Ta1 0.000 0.000 0.036
Ta2 0.500 0.500 0.240
```

- energy (eV/atom) = -7.1384
- formation energy from raw total energies (eV per atom) = -0.07
- energy above the lowest structure with this stoichiometry (eV per atom) = 0.062